# Ac4Ag5Hg2

A relaxed structure of Ac4Ag5Hg2 (GGA-PBE, Alexandria via LeMat-Bulk).

Geometry as POSCAR:
```
Ac4Ag5Hg2
1.0
-1.5186 -3.8267 -0.5850
7.6511 -3.0508 0.0953
0.0409 -1.4554 9.4141
Ag Ac Hg
5 4 2
Direct
0.0000 0.4181 0.6338
0.0000 0.5819 0.3662
0.0000 0.5000 0.0000
0.0000 0.1247 0.1106
0.0000 0.8753 0.8894
0.5000 0.7636 0.1351
0.5000 0.7268 0.6408
0.5000 0.2732 0.3592
0.5000 0.2364 0.8649
0.0000 0.0725 0.6310
0.0000 0.9275 0.3690
```

Computed properties:
**Symmetry**: No. 10


# Mn2IrRh

A relaxed structure of Mn2IrRh (GGA-PBE, Alexandria via LeMat-Bulk).

Geometry as POSCAR:
```
Mn2IrRh
1.0
-0.7532 -0.0364 2.5554
2.5536 -0.1172 0.7510
0.2799 7.2947 0.1865
Mn Ir Rh
2 1 1
Direct
0.0000 0.0000 0.5009
0.0000 0.0000 0.9991
0.5000 0.5000 0.7500
0.5000 0.5000 0.2500
```

Computed properties:
**Symmetry**: No. 123


# La3Pm6ErTm2

A relaxed structure of La3Pm6ErTm2 (GGA-PBE, Alexandria via LeMat-Bulk).

Geometry as POSCAR:
```
La3Pm6ErTm2
1.0
-1.1617 1.2956 6.0612
5.2211 -3.1484 -1.6103
4.4954 10.8715 -2.5576
La Pm Tm Er
3 6 2 1
Direct
0.1667 0.8333 0.5000
0.8333 0.1667 0.5000
0.5000 0.5000 0.5000
0.7473 0.7473 0.2424
0.0809 0.4144 0.2424
0.9191 0.5856 0.7576
0.2527 0.2527 0.7576
0.5856 0.9191 0.7576
0.4144 0.0809 0.2424
0.3333 0.6667 0.0000
0.6667 0.3333 0.0000
0.0000 0.0000 0.0000
```

Computed properties:
**Symmetry**: No. 12


# Li4Ho3PaS8

A relaxed structure of Li4Ho3PaS8 (GGA-PBE, Alexandria via LeMat-Bulk).

Geometry as POSCAR:
```
Li4Ho3PaS8
1.0
7.7769 0.0000 0.0000
0.0000 7.6469 -0.1002
-3.8884 -3.8840 5.5002
Li S Ho Pa
4 8 3 1
Direct
0.0000 0.0000 0.0000
0.0000 0.0000 0.5000
0.5000 0.0000 0.5000
0.5000 0.0000 0.0000
0.7484 0.2458 0.9971
0.2516 0.7542 0.0029
0.7484 0.2458 0.4968
0.2516 0.7542 0.5032
0.2495 0.2488 0.4990
0.7505 0.7512 0.5010
0.2487 0.2458 0.9971
0.7513 0.7542 0.0029
0.5000 0.5000 0.0000
0.0000 0.5000 0.5000
0.5000 0.5000 0.5000
0.0000 0.5000 0.0000
```

Computed properties:
**E_form (uncorrected)**: -1730 meV/atom
**Symmetry**: No. 166


# Li2CdHgH

A relaxed structure of Li2CdHgH (GGA-PBE, Alexandria via LeMat-Bulk).

Geometry as POSCAR:
```
Li2CdHgH
1.0
-2.0938 0.1490 3.7631
3.1220 -2.3394 1.8297
2.0520 3.5223 1.0023
Li Cd Hg H
2 1 1 1
Direct
0.0000 0.5000 0.0000
0.5000 0.0000 0.0000
0.5000 0.5000 0.5000
0.0000 0.0000 0.5000
0.0000 0.0000 0.0000
```

Computed properties:
**Symmetry**: No. 123
**ΔE to the lowest computed polymorph**: 0.051 eV per atom


# NaPr2Te3

A relaxed structure of NaPr2Te3 (GGA-PBE, Alexandria via LeMat-Bulk).

Geometry as POSCAR:
```
NaPr2Te3
1.0
4.3231 0.0000 -1.3086
-0.7964 5.8117 -2.6310
0.0340 0.0287 7.9079
Te Pr Na
3 2 1
Direct
0.5000 0.0000 0.5000
0.1664 0.6664 0.8328
0.8336 0.3336 0.1672
0.8346 0.8346 0.1693
0.1654 0.1654 0.8307
0.5000 0.5000 0.5000
```

Computed properties:
**E_form (uncorrected)**: -1368 meV/atom
**Symmetry**: No. 71
**ΔE to the lowest computed polymorph**: 0.000 eV per atom


# RbNaBePt2

A relaxed structure of RbNaBePt2 (GGA-PBE, Alexandria via LeMat-Bulk).

Geometry as POSCAR:
```
RbNaBePt2
1.0
-1.3523 -0.3719 4.7918
4.3581 -2.4060 1.0432
2.1904 4.3832 0.9583
Rb Pt Na Be
1 2 1 1
Direct
0.0000 0.5000 0.0000
0.0000 0.0000 0.5000
0.5000 0.0000 0.0000
0.0000 0.0000 0.0000
0.5000 0.5000 0.5000
```

Computed properties:
**Symmetry**: No. 123


# CdNi2Mo2

A relaxed structure of CdNi2Mo2 (GGA-PBE, Alexandria via LeMat-Bulk).

Geometry as POSCAR:
```
CdNi2Mo2
1.0
7.5859 0.0000 0.0000
0.0000 7.5859 0.0000
0.0000 0.0000 2.6562
Ni Mo Cd
4 4 2
Direct
0.6702 0.8298 0.5000
0.8298 0.3298 0.5000
0.3298 0.1702 0.5000
0.1702 0.6702 0.5000
0.3798 0.8798 0.0000
0.8798 0.6202 0.0000
0.6202 0.1202 0.0000
0.1202 0.3798 0.0000
0.0000 0.0000 0.0000
0.5000 0.5000 0.0000
```

Computed properties:
**Symmetry**: No. 127
**ΔE to the lowest computed polymorph**: 0.059 eV per atom


# Lu2TlMo

A relaxed structure of Lu2TlMo (GGA-PBE, Alexandria via LeMat-Bulk).

Geometry as POSCAR:
```
Lu2TlMo
1.0
-2.5760 1.7315 -1.6999
-0.1471 -2.5861 -2.4113
-5.0999 -3.5471 4.1154
Tl Mo Lu
1 1 2
Direct
0.5000 0.5000 0.5000
0.5000 0.5000 0.0000
0.0000 0.0000 0.2181
0.0000 0.0000 0.7819
```

Computed properties:
**Symmetry**: No. 123


# BeTe2N2

A relaxed structure of BeTe2N2 (GGA-PBE, Alexandria via LeMat-Bulk).

Geometry as POSCAR:
```
BeTe2N2
1.0
-4.2882 2.7776 0.2066
-1.1704 -2.1412 4.4935
1.5101 2.2233 1.4527
N Be Te
2 1 2
Direct
0.5000 0.5000 0.5000
0.0000 0.0000 0.5000
0.0000 0.0000 0.0000
0.5000 0.0000 0.0000
0.0000 0.5000 0.0000
```

Computed properties:
**E_form (uncorrected)**: 1250 meV/atom
**Symmetry**: No. 123
**ΔE to the lowest computed polymorph**: 0.000 eV per atom


# Pr4SmDySe8

A relaxed structure of Pr4SmDySe8 (GGA-PBE, Alexandria via LeMat-Bulk).

Geometry as POSCAR:
```
Pr4SmDySe8
1.0
-7.3994 2.2465 -3.9774
-1.7687 -3.0615 -7.9446
-6.3007 -5.8642 -1.0965
Se Pr Sm Dy
8 4 1 1
Direct
0.7578 0.7578 0.7266
0.2432 0.2432 0.7520
0.7619 0.7619 0.2533
0.2473 0.2473 0.2580
0.7617 0.2432 0.7520
0.2230 0.7619 0.2533
0.2432 0.7617 0.7520
0.7619 0.2230 0.2533
0.4948 0.0019 0.5015
0.0019 0.0019 0.5015
0.6243 0.6243 0.1271
0.0019 0.4948 0.5015
0.0017 0.0017 0.9949
0.3756 0.3756 0.8731
```

Computed properties:
**E_form (uncorrected)**: -1724 meV/atom
**Symmetry**: No. 160


# Rb2CaAuCl6

A relaxed structure of Rb2CaAuCl6 (GGA-PBE, Alexandria via LeMat-Bulk).

Geometry as POSCAR:
```
Rb2CaAuCl6
1.0
7.7211 0.0000 0.0000
0.0000 7.7211 0.0000
3.8606 3.8606 5.1478
Au Cl Ca Rb
1 6 1 2
Direct
0.0000 0.0000 0.0000
0.7462 0.7462 0.0000
0.2538 0.7462 0.0000
0.7462 0.2538 0.0000
0.2538 0.2538 0.0000
0.2326 0.2326 0.5348
0.7674 0.7674 0.4652
0.5000 0.5000 0.0000
0.2500 0.7500 0.5000
0.7500 0.2500 0.5000
```

Computed properties:
**E_form (uncorrected)**: -1505 meV/atom
**Symmetry**: No. 139


no.,magnetization (μB/cell),final energy (eV per atom),ρ (g/cm3)
1,0.00,-3.121,9.43
2,3.15,-8.716,12.97
3,0.00,-4.709,7.29
4,1.67,-5.724,5.18
5,0.00,-1.809,6.99
6,0.00,-4.752,5.73
7,0.00,-2.291,6.65
8,0.00,-6.549,9.16
9,0.00,-5.554,11.57
10,0.47,-4.082,6.07
11,0.00,-5.747,5.40
12,0.98,-3.335,3.36